A relaxed CaTb2ScBi4 crystal. Source: the Alexandria database, functional PBE.

Properties
Magnetic moment (μB/f.u.): 0.000
ΔH_f (0 K) (meV/atom): -745
Energy (eV per formula unit): -39.07
Fermi-level density of states (states/eV per atom): 0.527
Calculated volume (Å³ per cell): 252.49

CIF file:
```
data_CaTb2ScBi4
_symmetry_space_group_name_H-M 'P 1'
_symmetry_Int_Tables_number 1
_cell_length_a 7.7397
_cell_length_b 6.3215
_cell_length_c 7.7397
_cell_angle_alpha 65.90
_cell_angle_beta 48.21
_cell_angle_gamma 65.90
loop_
_symmetry_equiv_pos_as_xyz
'x,y,z'
loop_
_atom_site_label
_atom_site_type_symbol
_atom_site_fract_x
_atom_site_fract_y
_atom_site_fract_z
_atom_site_occupancy
Ca1 Ca 0.0000 0.0000 0.0000 1
Tb1 Tb 0.2508 0.2508 0.2492 1
Tb2 Tb 0.7508 0.7508 0.7492 1
Sc1 Sc 0.5005 0.5005 0.4995 1
Bi1 Bi 0.0005 0.5001 0.9995 1
Bi2 Bi 0.2612 0.7403 0.2597 1
Bi3 Bi 0.5001 0.0005 0.4999 1
Bi4 Bi 0.7403 0.2612 0.7388 1
```